This record from the Alexandria database describes a geometry-optimized SmY2Ag structure. The functional is PBE.

Cell lengths 3.6211, 3.6211, 8.8030 Å; angles 90.00, 90.00, 90.00 degrees
Closest atoms and distances in Å follow each position.
Space group P4/mmm (No. 123)
One atom of each set of equivalent atoms:
Sm 0.0000 0.0000 0.0000  8 Y 3.62, 4 Sm 3.62
Y 0.5000 0.5000 0.2907  4 Ag 3.15
Ag 0.0000 0.0000 0.5000  8 Y 3.15

Output
energy relative to the lowest polymorph listed for this composition: 0.000 eV per atom
spin magnetization: 0.000 μB/atom
E_form: -0.14 eV per atom
total DFT energy (no corrections): -0.3867 Ry/atom
calculated density: 6.273 g/cm³

---

This record from the Alexandria database describes a geometry-optimized AcErGeAu structure. The functional is PBE.

Cell lengths 7.5109, 7.5109, 7.5109 Å; angles 90.00, 90.00, 90.00 degrees
Closest atoms and distances in Å follow each position.
Space group F-43m (No. 216)
One atom of each set of equivalent atoms:
Ac 0.0000 0.0000 0.0000  4 Au 3.25, 4 Ge 3.25
Er 0.0000 0.0000 0.5000  4 Ge 3.25, 4 Au 3.25
Ge 0.2500 0.2500 0.7500  4 Ac 3.25, 4 Er 3.25
Au 0.2500 0.2500 0.2500  4 Er 3.25, 4 Ac 3.25

Output
spin magnetization: 0.070 μB/atom
E_form: -0.65 eV per atom
total DFT energy (no corrections): -0.3519 Ry/atom
calculated density: 10.407 g/cm³